Entry 1:
## Nb2W3 (PBE)

Data for a relaxed Nb2W3 crystal. Values from VASP.

Values from the calculation:
DFT formation energy: 0.554 eV per atom
Electronic total energy: -11.25 eV per atom
Space group: C2/m
Energy relative to the lowest polymorph listed for this composition: 618 meV per atom

Structure (Quantum ESPRESSO input):
```
&SYSTEM
  ibrav = 0, nat = 10, ntyp = 2
/
ATOMIC_SPECIES
Nb 92.91 Nb.upf
W 183.84 W.upf
ATOMIC_POSITIONS crystal
Nb 0.0000 0.5000 0.5000
Nb 0.1835 0.8165 0.0000
Nb 0.5000 0.0000 0.5000
Nb 0.8165 0.1835 0.0000
W 0.1179 0.1179 0.2842
W 0.3199 0.5186 0.7669
W 0.4814 0.6801 0.2331
W 0.5186 0.3199 0.7669
W 0.6801 0.4814 0.2331
W 0.8821 0.8821 0.7158
CELL_PARAMETERS angstrom
2.5767 -6.5011 0.0000
2.5767 6.5011 0.0000
-0.3293 0.0000 5.3549
```

***

Entry 2:
## CrFe2Ag (PBE)

Data for a relaxed CrFe2Ag crystal. Values from VASP.

Values from the calculation:
DFT formation energy: 0.525 eV per atom
Electronic total energy: -6.82 eV per atom
Space group: Fm-3m
Energy relative to the lowest polymorph listed for this composition: 204 meV per atom

Structure (Quantum ESPRESSO input):
```
&SYSTEM
  ibrav = 0, nat = 4, ntyp = 3
/
ATOMIC_SPECIES
Cr 52.00 Cr.upf
Fe 55.84 Fe.upf
Ag 107.87 Ag.upf
ATOMIC_POSITIONS crystal
Cr 0.0000 0.0000 0.0000
Fe 0.2500 0.2500 0.2500
Fe 0.7500 0.7500 0.7500
Ag 0.5000 0.5000 0.5000
CELL_PARAMETERS angstrom
0.0000 3.0113 3.0113
3.0113 0.0000 3.0113
3.0113 3.0113 0.0000
```

***

Entry 3:
## CdSiRh3 (PBE)

Data for a relaxed CdSiRh3 crystal. Values from VASP.

Values from the calculation:
Electronic total energy: -3.96 eV per atom
ΔE_f (raw): 1.722 eV per atom
Space group: Pm-3m
Energy relative to the lowest polymorph listed for this composition: 1749 meV per atom

Structure (Quantum ESPRESSO input):
```
&SYSTEM
  ibrav = 0, nat = 5, ntyp = 3
/
ATOMIC_SPECIES
Cd 112.41 Cd.upf
Si 28.09 Si.upf
Rh 102.91 Rh.upf
ATOMIC_POSITIONS crystal
Cd 0.0000 0.0000 0.0000
Si 0.5000 0.5000 0.5000
Rh 0.0000 0.0000 0.5000
Rh 0.0000 0.5000 0.0000
Rh 0.5000 0.0000 0.0000
CELL_PARAMETERS angstrom
4.8175 0.0000 0.0000
0.0000 4.8175 0.0000
0.0000 0.0000 4.8175
```

***

Entry 4:
## Pr2ZrSn3Ir4 (PBE)

Data for a relaxed Pr2ZrSn3Ir4 crystal. Values from VASP.

Values from the calculation:
DFT formation energy: -0.635 eV per atom
Electronic total energy: -7.19 eV per atom
Space group: P-4m2

Structure (Quantum ESPRESSO input):
```
&SYSTEM
  ibrav = 0, nat = 10, ntyp = 4
/
ATOMIC_SPECIES
Pr 140.91 Pr.upf
Zr 91.22 Zr.upf
Sn 118.71 Sn.upf
Ir 192.22 Ir.upf
ATOMIC_POSITIONS crystal
Pr 0.0000 0.5000 0.2381
Pr 0.5000 0.0000 0.7619
Zr 0.0000 0.0000 0.5000
Sn 0.0000 0.5000 0.8708
Sn 0.5000 0.0000 0.1292
Sn 0.5000 0.5000 0.5000
Ir 0.0000 0.0000 0.0000
Ir 0.0000 0.5000 0.6410
Ir 0.5000 0.0000 0.3590
Ir 0.5000 0.5000 0.0000
CELL_PARAMETERS angstrom
4.3894 0.0000 0.0000
0.0000 4.3894 0.0000
0.0000 0.0000 11.4436
```

***

Entry 5:
## La2Pm5In (PBE)

Data for a relaxed La2Pm5In crystal. Values from VASP.

Values from the calculation:
DFT formation energy: -0.107 eV per atom
Electronic total energy: -4.65 eV per atom
Space group: I4/mmm

Structure (Quantum ESPRESSO input):
```
&SYSTEM
  ibrav = 0, nat = 8, ntyp = 3
/
ATOMIC_SPECIES
La 138.91 La.upf
Pm 145.00 Pm.upf
In 114.82 In.upf
ATOMIC_POSITIONS crystal
La 0.2465 0.2465 0.0000
La 0.7535 0.7535 0.0000
Pm 0.0000 0.0000 0.0000
Pm 0.1190 0.6190 0.5000
Pm 0.3810 0.8810 0.5000
Pm 0.6190 0.1190 0.5000
Pm 0.8810 0.3810 0.5000
In 0.5000 0.5000 0.0000
CELL_PARAMETERS angstrom
-2.5113 2.5113 10.4940
2.5113 -2.5113 10.4940
2.5113 2.5113 -10.4940
```

***

Entry 6:
## Tl2PbSe2O6 (PBE)

Data for a relaxed Tl2PbSe2O6 crystal. Values from VASP.

Values from the calculation:
Electronic total energy: -5.01 eV per atom
ΔE_f (raw): -0.900 eV per atom
Space group: R-3m

Structure (Quantum ESPRESSO input):
```
&SYSTEM
  ibrav = 0, nat = 11, ntyp = 4
/
ATOMIC_SPECIES
Tl 204.38 Tl.upf
Pb 207.20 Pb.upf
Se 78.96 Se.upf
O 16.00 O.upf
ATOMIC_POSITIONS crystal
Tl 0.2179 0.2179 0.2179
Tl 0.7821 0.7821 0.7821
Pb 0.5000 0.5000 0.5000
Se 0.0815 0.0815 0.0815
Se 0.9185 0.9185 0.9185
O 0.1706 0.7467 0.7467
O 0.2533 0.2533 0.8294
O 0.2533 0.8294 0.2533
O 0.7467 0.1706 0.7467
O 0.7467 0.7467 0.1706
O 0.8294 0.2533 0.2533
CELL_PARAMETERS angstrom
3.1768 1.8341 8.2738
-3.1768 1.8341 8.2738
0.0000 -3.6683 8.2738
```

***

Entry 7:
## LiHoTm2 (PBE)

Data for a relaxed LiHoTm2 crystal. Values from VASP.

Values from the calculation:
DFT formation energy: 0.074 eV per atom
Electronic total energy: -3.78 eV per atom
Space group: P4/mmm
Energy relative to the lowest polymorph listed for this composition: 0 meV per atom

Structure (Quantum ESPRESSO input):
```
&SYSTEM
  ibrav = 0, nat = 4, ntyp = 3
/
ATOMIC_SPECIES
Li 6.94 Li.upf
Ho 164.93 Ho.upf
Tm 168.93 Tm.upf
ATOMIC_POSITIONS crystal
Li 0.0000 0.0000 0.0000
Ho 0.0000 0.0000 0.5000
Tm 0.5000 0.5000 0.2226
Tm 0.5000 0.5000 0.7774
CELL_PARAMETERS angstrom
3.5521 0.0000 0.0000
0.0000 3.5521 0.0000
0.0000 0.0000 8.7243
```